The following is a PBE calculation of a geometry-optimized Na2CdPt2 structure, from the Alexandria database. Values from VASP.

Summary:
Its symmetry is Immm. The offset from the most stable computed form comes out at 0.0000 eV/atom. The total moment comes out at 0.000 μB/cell. The value obtained for the mass density is 8270 kg/m³. The energy of formation from the pure elements comes out at -233 meV/atom.

The structure in Quantum ESPRESSO input format:
```
&SYSTEM
  ibrav = 0, nat = 5, ntyp = 3
/
ATOMIC_SPECIES
Na 22.99 Na.upf
Cd 112.41 Cd.upf
Pt 195.08 Pt.upf
ATOMIC_POSITIONS crystal
Na 0.8009 0.3009 0.6018
Na 0.1991 0.6991 0.3982
Cd 0.0000 0.0000 0.0000
Pt 0.5000 0.7355 0.0000
Pt 0.5000 0.2645 0.0000
CELL_PARAMETERS angstrom
4.2650 0.0000 -1.6137
-0.9257 4.8224 -2.4467
-0.3002 -0.3119 5.6498
```